Computed, not measured: a relaxed structure of ScCo3 at the PBE level of DFT.

a b c (Å): 2.7121 2.7121 8.2338
angles (deg): 90.00 90.00 120.00
Last column: nearest neighbours and their distance in Å.
Fractional positions:
Sc 0.0000 0.0000 0.0000  6 Sc 2.71, 6 Co 2.73
Co 0.0000 0.0000 0.5000  12 Co 2.45-2.71
Co 0.6667 0.3333 0.2716  9 Co 2.45-2.71, 3 Sc 2.73
Co 0.6667 0.3333 0.7284  9 Co 2.45-2.71, 3 Sc 2.73

Computed properties:
The value obtained for the density of states at the Fermi level is 4.24 states/eV per cell. The uncorrected energy is -6.647 eV per atom. The calculation puts the formation energy at 0.2654 eV per atom. Its calculated density is 7.02 g/cm3. The crystal system is hexagonal. Its space group is P-6m2.

Computed, not measured: a relaxed structure of ScCo2 at the PBE level of DFT.

a b c (Å): 6.6006 6.6006 4.1920
angles (deg): 90.00 90.00 152.76
Last column: nearest neighbours and their distance in Å.
Fractional positions:
Sc 0.0894 0.9106 0.7500  10 Co 2.61-2.87
Sc 0.9106 0.0894 0.2500  10 Co 2.61-2.87
Co 0.2419 0.7581 0.2500  6 Co 2.48-2.62, 2 Sc 2.66
Co 0.4084 0.5916 0.7500  2 Co 2.48, 4 Sc 2.61
Co 0.5916 0.4084 0.2500  2 Co 2.48, 4 Sc 2.61
Co 0.7581 0.2419 0.7500  6 Co 2.48-2.62, 2 Sc 2.66

Computed properties:
The value obtained for the density of states at the Fermi level is 7.48 states/eV per cell. The uncorrected energy is -6.955 eV per atom. The calculation puts the formation energy at -0.1073 eV per atom. Its calculated density is 6.47 g/cm3. The crystal system is orthorhombic. Its space group is Cmcm.

Computed, not measured: a relaxed structure of ScCo2 at the PBE level of DFT.

a b c (Å): 2.8744 2.8744 6.0419
angles (deg): 90.00 90.00 120.00
Last column: nearest neighbours and their distance in Å.
Fractional positions:
Sc 0.0000 0.0000 0.0000  6 Co 2.70, 6 Sc 2.87
Co 0.3333 0.6667 0.6479  3 Co 2.44, 3 Sc 2.70
Co 0.6667 0.3333 0.3521  3 Co 2.44, 3 Sc 2.70

Computed properties:
The value obtained for the density of states at the Fermi level is 3.45 states/eV per cell. The uncorrected energy is -6.587 eV per atom. The calculation puts the formation energy at 0.2608 eV per atom. Its calculated density is 6.25 g/cm3. The crystal system is trigonal. Its space group is P-3m1.

Computed, not measured: a relaxed structure of ScCo2 at the PBE level of DFT.

a b c (Å): 5.2907 5.2907 5.2907
angles (deg): 128.28 128.28 76.18
Last column: nearest neighbours and their distance in Å.
Fractional positions:
Sc 0.2500 0.2500 0.0000  8 Co 2.69
Sc 0.7500 0.7500 0.0000  8 Co 2.69
Co 0.1784 0.6784 0.8568  5 Co 2.33-2.40
Co 0.3216 0.1784 0.5000  5 Co 2.33-2.40
Co 0.6784 0.8216 0.5000  5 Co 2.33-2.40
Co 0.8216 0.3216 0.1432  5 Co 2.33-2.40

Computed properties:
The value obtained for the density of states at the Fermi level is 8.28 states/eV per cell. The uncorrected energy is -6.908 eV per atom. The calculation puts the formation energy at -0.0600 eV per atom. Its calculated density is 6.10 g/cm3. The crystal system is tetragonal. Its space group is I4/mcm.

Repeat the third record exactly.
Computed, not measured: a relaxed structure of ScCo2 at the PBE level of DFT.

a b c (Å): 2.8744 2.8744 6.0419
angles (deg): 90.00 90.00 120.00
Last column: nearest neighbours and their distance in Å.
Fractional positions:
Sc 0.0000 0.0000 0.0000  6 Co 2.70, 6 Sc 2.87
Co 0.3333 0.6667 0.6479  3 Co 2.44, 3 Sc 2.70
Co 0.6667 0.3333 0.3521  3 Co 2.44, 3 Sc 2.70

Computed properties:
The value obtained for the density of states at the Fermi level is 3.45 states/eV per cell. The uncorrected energy is -6.587 eV per atom. The calculation puts the formation energy at 0.2608 eV per atom. Its calculated density is 6.25 g/cm3. The crystal system is trigonal. Its space group is P-3m1.